# 1
Compound: Pm4TlAu3
Source: the Alexandria database
Functional: PBE
Structure: relaxed Values from VASP.

Geometry as Quantum ESPRESSO input:
```
&SYSTEM
  ibrav = 0, nat = 8, ntyp = 3
/
ATOMIC_SPECIES
Au 196.97 Au.upf
Tl 204.38 Tl.upf
Pm 145.00 Pm.upf
ATOMIC_POSITIONS angstrom
Au 0.000 0.000 4.809
Au 0.000 2.424 6.733
Au 1.937 0.000 10.449
Tl 1.937 2.424 0.965
Pm 0.000 2.424 9.792
Pm 1.937 2.424 4.272
Pm 0.000 0.000 1.706
Pm 1.937 0.000 7.322
CELL_PARAMETERS angstrom
3.874 0.000 0.000
0.000 4.847 0.000
0.000 0.000 11.512
```

Properties
Electronic total energy (eV per atom): -4.572
Energy of formation from the pure elements (eV/atom): -0.671
Calculated volume (Å³ per cell): 216
Spin magnetization (μB/f.u.): 0.0

---

# 2
Compound: Tb4ErMgS8
Source: the Alexandria database
Functional: PBE
Structure: relaxed Values from VASP.

Geometry as Quantum ESPRESSO input:
```
&SYSTEM
  ibrav = 0, nat = 14, ntyp = 4
/
ATOMIC_SPECIES
S 32.06 S.upf
Mg 24.30 Mg.upf
Er 167.26 Er.upf
Tb 158.93 Tb.upf
ATOMIC_POSITIONS angstrom
S -1.383 5.781 10.069
S -2.859 3.364 7.191
S 1.123 4.021 7.300
S -1.273 4.506 13.859
S -0.077 0.336 8.431
S -2.684 2.167 11.313
S 1.292 2.870 11.261
S -0.341 1.587 4.641
Mg 0.909 4.802 9.687
Er 2.937 4.941 5.476
Tb -0.890 4.173 5.416
Tb 1.643 1.416 6.545
Tb 1.483 2.506 2.792
Tb -2.453 1.363 8.831
CELL_PARAMETERS angstrom
-4.851 3.407 5.362
0.326 -2.228 7.669
2.975 4.980 5.486
```

Properties
Electronic total energy (eV per atom): -6.039
Calculated volume (Å³ per cell): 360
Spin magnetization (μB/f.u.): 0.0

---

# 3
Compound: La12Sm7Sc
Source: the Alexandria database
Functional: PBE
Structure: relaxed Values from VASP.

Geometry as Quantum ESPRESSO input:
```
&SYSTEM
  ibrav = 0, nat = 20, ntyp = 3
/
ATOMIC_SPECIES
La 138.91 La.upf
Sm 150.36 Sm.upf
Sc 44.96 Sc.upf
ATOMIC_POSITIONS angstrom
La -2.022 -2.478 5.129
La 1.420 2.714 3.284
La 3.814 -0.091 4.688
La -6.288 -3.534 2.567
La 1.502 -4.403 6.081
La -2.369 -4.800 2.799
La 5.046 0.714 8.542
La -2.662 -5.535 7.825
La -5.056 -2.729 6.421
La 0.780 -0.342 5.980
La 1.127 1.980 8.309
La -2.744 1.582 5.027
Sm -1.396 4.570 3.429
Sm 0.155 -7.391 7.680
Sm -5.094 -6.627 1.928
Sm -0.484 -2.625 8.152
Sm -0.758 -0.196 2.956
Sm -2.033 2.280 0.968
Sm 3.852 3.807 9.181
Sc 0.000 0.000 0.000
CELL_PARAMETERS angstrom
-4.065 4.560 1.935
-6.172 -9.468 2.272
8.995 2.088 6.902
```

Properties
Electronic total energy (eV per atom): -4.771
Energy of formation from the pure elements (eV/atom): 0.154
Calculated volume (Å³ per cell): 712
Spin magnetization (μB/f.u.): 0.0
Relative energy among the computed polymorphs (meV per atom): 27

---

# 4
Compound: Pm2CdSe2O2
Source: the Alexandria database
Functional: PBE
Structure: relaxed Values from VASP.

Geometry as Quantum ESPRESSO input:
```
&SYSTEM
  ibrav = 0, nat = 7, ntyp = 4
/
ATOMIC_SPECIES
Cd 112.41 Cd.upf
O 16.00 O.upf
Pm 145.00 Pm.upf
Se 78.96 Se.upf
ATOMIC_POSITIONS angstrom
Cd 0.000 0.000 0.000
O 3.932 6.078 5.558
O 3.932 2.199 0.546
Pm 5.898 5.488 4.571
Pm 1.966 2.789 1.532
Se 3.932 5.562 2.016
Se 3.932 2.715 4.087
CELL_PARAMETERS angstrom
3.932 0.000 0.000
1.966 6.019 -0.012
1.966 2.258 6.115
```

Properties
Electronic total energy (eV per atom): -6.077
Calculated volume (Å³ per cell): 145
Spin magnetization (μB/f.u.): 0.0

---

# 5
Compound: SmCu2Au6
Source: the Alexandria database
Functional: PBE
Structure: relaxed Values from VASP.

Geometry as Quantum ESPRESSO input:
```
&SYSTEM
  ibrav = 0, nat = 18, ntyp = 3
/
ATOMIC_SPECIES
Au 196.97 Au.upf
Cu 63.55 Cu.upf
Sm 150.36 Sm.upf
ATOMIC_POSITIONS angstrom
Au 14.490 8.366 3.382
Au 12.422 9.560 6.760
Au 6.213 5.975 1.692
Au 14.490 5.978 6.760
Au 12.422 4.783 3.382
Au 6.213 3.587 5.070
Au 10.349 5.975 1.692
Au 10.353 5.978 6.760
Au 8.281 7.169 5.070
Au 8.281 2.393 1.692
Au 10.353 8.366 3.382
Au 10.349 3.587 5.070
Cu 4.141 4.781 0.845
Cu 2.070 1.195 0.845
Cu 4.141 2.391 4.226
Cu 6.211 1.195 0.845
Sm 8.281 4.781 3.381
Sm 12.422 7.172 5.071
CELL_PARAMETERS angstrom
8.281 0.000 0.000
4.141 7.172 0.000
4.141 2.391 6.762
```

Properties
Electronic total energy (eV per atom): -3.615
Energy of formation from the pure elements (eV/atom): 0.004
Calculated volume (Å³ per cell): 402
Spin magnetization (μB/f.u.): 0.0

---

# 6
Compound: AlTc2B
Source: the Alexandria database
Functional: PBE
Structure: relaxed Values from VASP.

Geometry as Quantum ESPRESSO input:
```
&SYSTEM
  ibrav = 0, nat = 4, ntyp = 3
/
ATOMIC_SPECIES
B 10.81 B.upf
Al 26.98 Al.upf
Tc 98.00 Tc.upf
ATOMIC_POSITIONS angstrom
B -1.926 0.390 -0.226
Al -2.305 0.346 2.928
Tc -0.148 -0.017 1.232
Tc -0.610 -0.070 5.076
CELL_PARAMETERS angstrom
-1.542 2.329 -0.153
-2.310 -1.549 -0.299
-0.758 -0.087 6.308
```

Properties
Electronic total energy (eV per atom): -7.963
Energy of formation from the pure elements (eV/atom): -0.175
Calculated volume (Å³ per cell): 50
Spin magnetization (μB/f.u.): 0.0
Relative energy among the computed polymorphs (meV per atom): 0

---

# 7
Compound: CsAgPO2
Source: the Alexandria database
Functional: PBE
Structure: relaxed Values from VASP.

Geometry as Quantum ESPRESSO input:
```
&SYSTEM
  ibrav = 0, nat = 5, ntyp = 4
/
ATOMIC_SPECIES
Cs 132.91 Cs.upf
P 30.97 P.upf
Ag 107.87 Ag.upf
O 16.00 O.upf
ATOMIC_POSITIONS angstrom
Cs 0.000 0.000 0.000
P 0.601 -3.686 0.321
Ag 0.785 -3.914 -2.645
O -1.375 -0.359 -1.555
O 1.560 0.132 -1.410
CELL_PARAMETERS angstrom
-2.751 -0.719 -3.111
3.121 0.263 -2.820
1.201 -7.372 0.641
```

Properties
Electronic total energy (eV per atom): -2.809
Calculated volume (Å³ per cell): 133
Spin magnetization (μB/f.u.): 1.3

---

# 8
Compound: KBeFe
Source: the Alexandria database
Functional: PBE
Structure: relaxed Values from VASP.

Geometry as Quantum ESPRESSO input:
```
&SYSTEM
  ibrav = 0, nat = 3, ntyp = 3
/
ATOMIC_SPECIES
Fe 55.84 Fe.upf
K 39.10 K.upf
Be 9.01 Be.upf
ATOMIC_POSITIONS angstrom
Fe 1.459 0.842 1.933
K 0.000 1.685 4.799
Be 0.000 0.000 0.420
CELL_PARAMETERS angstrom
2.918 0.000 0.000
-1.459 2.527 0.000
0.000 0.000 7.151
```

Properties
Electronic total energy (eV per atom): -3.368
Energy of formation from the pure elements (eV/atom): 1.061
Calculated volume (Å³ per cell): 53
Spin magnetization (μB/f.u.): 2.5
Relative energy among the computed polymorphs (meV per atom): 361

---

# 9
Compound: ZnIn5Se8
Source: the Alexandria database
Functional: PBE
Structure: relaxed Values from VASP.

Geometry as Quantum ESPRESSO input:
```
&SYSTEM
  ibrav = 0, nat = 14, ntyp = 3
/
ATOMIC_SPECIES
Zn 65.41 Zn.upf
In 114.82 In.upf
Se 78.96 Se.upf
ATOMIC_POSITIONS angstrom
Zn -0.340 0.523 4.941
In 0.734 -0.866 9.365
In -2.899 0.689 8.950
In 0.000 0.000 0.000
In -0.846 1.301 12.297
In 0.291 3.058 8.919
Se -3.123 1.231 13.941
Se -2.083 2.942 10.397
Se -1.644 -0.952 10.839
Se -0.100 3.475 13.911
Se -0.515 0.792 7.487
Se 0.320 -0.243 14.333
Se -1.177 1.810 17.112
Se 1.522 1.399 10.808
CELL_PARAMETERS angstrom
-2.328 -3.596 6.914
4.202 1.252 6.850
-3.234 4.435 6.002
```

Properties
Electronic total energy (eV per atom): -3.563
Calculated volume (Å³ per cell): 380
Spin magnetization (μB/f.u.): 0.0

---

# 10
Compound: TlHg3Ir
Source: the Alexandria database
Functional: PBE
Structure: relaxed Values from VASP.

Geometry as Quantum ESPRESSO input:
```
&SYSTEM
  ibrav = 0, nat = 5, ntyp = 3
/
ATOMIC_SPECIES
Hg 200.59 Hg.upf
Tl 204.38 Tl.upf
Ir 192.22 Ir.upf
ATOMIC_POSITIONS angstrom
Hg 0.000 0.000 2.648
Hg 0.000 2.648 0.000
Hg 2.648 0.000 0.000
Tl 2.648 2.648 2.648
Ir 0.000 0.000 0.000
CELL_PARAMETERS angstrom
5.296 0.000 0.000
0.000 5.296 0.000
0.000 0.000 5.296
```

Properties
Electronic total energy (eV per atom): -2.209
Energy of formation from the pure elements (eV/atom): 0.217
Calculated volume (Å³ per cell): 149
Spin magnetization (μB/f.u.): 0.0
Relative energy among the computed polymorphs (meV per atom): 0

---

# 11
Compound: CaAl3Mo
Source: the Alexandria database
Functional: PBE
Structure: relaxed Values from VASP.

Geometry as Quantum ESPRESSO input:
```
&SYSTEM
  ibrav = 0, nat = 5, ntyp = 3
/
ATOMIC_SPECIES
Al 26.98 Al.upf
Mo 95.94 Mo.upf
Ca 40.08 Ca.upf
ATOMIC_POSITIONS angstrom
Al -0.789 2.263 0.457
Al -2.241 -0.634 -0.729
Al -0.557 -0.655 2.284
Mo 0.000 0.000 0.000
Ca -3.587 0.974 2.012
CELL_PARAMETERS angstrom
-1.578 4.527 0.913
-4.481 -1.269 -1.457
-1.114 -1.310 4.567
```

Properties
Electronic total energy (eV per atom): -4.796
Energy of formation from the pure elements (eV/atom): 0.016
Calculated volume (Å³ per cell): 116
Spin magnetization (μB/f.u.): 0.0
Relative energy among the computed polymorphs (meV per atom): 0

---

# 12
Compound: LiCa2HPb
Source: the Alexandria database
Functional: PBE
Structure: relaxed Values from VASP.

Geometry as Quantum ESPRESSO input:
```
&SYSTEM
  ibrav = 0, nat = 5, ntyp = 4
/
ATOMIC_SPECIES
Ca 40.08 Ca.upf
Li 6.94 Li.upf
Pb 207.20 Pb.upf
H 1.01 H.upf
ATOMIC_POSITIONS angstrom
Ca 0.000 2.598 0.000
Ca 2.598 0.000 0.000
Li 0.000 0.000 2.221
Pb 2.598 2.598 2.221
H 0.000 0.000 0.000
CELL_PARAMETERS angstrom
5.196 0.000 0.000
0.000 5.196 0.000
0.000 0.000 4.442
```

Properties
Electronic total energy (eV per atom): -3.061
Calculated volume (Å³ per cell): 120
Spin magnetization (μB/f.u.): 0.0

---

# 13
Compound: Y3B2N6
Source: the Alexandria database
Functional: PBE
Structure: relaxed Values from VASP.

Geometry as Quantum ESPRESSO input:
```
&SYSTEM
  ibrav = 0, nat = 11, ntyp = 3
/
ATOMIC_SPECIES
N 14.01 N.upf
B 10.81 B.upf
Y 88.91 Y.upf
ATOMIC_POSITIONS angstrom
N 0.000 1.741 1.688
N 1.741 1.741 3.780
N 1.741 0.000 1.688
N 0.000 1.741 7.992
N 0.000 0.000 5.900
N 1.741 0.000 7.992
B 1.741 1.741 2.307
B 0.000 0.000 7.373
Y 0.000 0.000 0.000
Y 0.000 0.000 3.505
Y 1.741 1.741 6.175
CELL_PARAMETERS angstrom
3.481 0.000 0.000
0.000 3.481 0.000
-1.741 -1.741 9.680
```

Properties
Electronic total energy (eV per atom): -8.183
Calculated volume (Å³ per cell): 117
Spin magnetization (μB/f.u.): 0.0

---

# 14
Compound: LiEuHgGe
Source: the Alexandria database
Functional: PBE
Structure: relaxed Values from VASP.

Geometry as Quantum ESPRESSO input:
```
&SYSTEM
  ibrav = 0, nat = 4, ntyp = 4
/
ATOMIC_SPECIES
Hg 200.59 Hg.upf
Eu 151.96 Eu.upf
Ge 72.64 Ge.upf
Li 6.94 Li.upf
ATOMIC_POSITIONS angstrom
Hg -0.340 -9.044 -2.155
Eu 0.000 0.000 0.000
Ge -0.113 -3.015 -0.718
Li -0.227 -6.029 -1.437
CELL_PARAMETERS angstrom
-2.784 -3.632 -2.169
2.262 -3.724 -2.581
0.068 -4.703 1.877
```

Properties
Electronic total energy (eV per atom): -4.707
Energy of formation from the pure elements (eV/atom): -0.430
Calculated volume (Å³ per cell): 92
Spin magnetization (μB/f.u.): 6.8

---

# 15
Compound: CdAsIr2
Source: the Alexandria database
Functional: PBE
Structure: relaxed Values from VASP.

Geometry as Quantum ESPRESSO input:
```
&SYSTEM
  ibrav = 0, nat = 4, ntyp = 3
/
ATOMIC_SPECIES
Ir 192.22 Ir.upf
Cd 112.41 Cd.upf
As 74.92 As.upf
ATOMIC_POSITIONS angstrom
Ir 0.843 0.289 5.057
Ir 4.474 1.537 2.787
Cd 2.237 0.768 1.309
As 6.712 2.305 3.926
CELL_PARAMETERS angstrom
4.534 -0.006 0.004
3.573 2.790 0.004
0.842 0.289 5.227
```

Properties
Electronic total energy (eV per atom): -5.621
Energy of formation from the pure elements (eV/atom): 0.201
Calculated volume (Å³ per cell): 66
Spin magnetization (μB/f.u.): 0.0
Relative energy among the computed polymorphs (meV per atom): 110

---

# 16
Compound: SnGe3Br
Source: the Alexandria database
Functional: PBE
Structure: relaxed Values from VASP.

Geometry as Quantum ESPRESSO input:
```
&SYSTEM
  ibrav = 0, nat = 5, ntyp = 3
/
ATOMIC_SPECIES
Br 79.90 Br.upf
Ge 72.64 Ge.upf
Sn 118.71 Sn.upf
ATOMIC_POSITIONS angstrom
Br 2.724 2.724 2.724
Ge 0.000 2.724 0.000
Ge 0.000 0.000 2.724
Ge 2.724 0.000 0.000
Sn 0.000 0.000 0.000
CELL_PARAMETERS angstrom
5.448 0.000 0.000
0.000 5.448 0.000
0.000 0.000 5.448
```

Properties
Electronic total energy (eV per atom): -3.120
Calculated volume (Å³ per cell): 162
Spin magnetization (μB/f.u.): 0.0
Relative energy among the computed polymorphs (meV per atom): 0

---

# 17
Compound: LiTaPt
Source: the Alexandria database
Functional: PBE
Structure: relaxed Values from VASP.

Geometry as Quantum ESPRESSO input:
```
&SYSTEM
  ibrav = 0, nat = 3, ntyp = 3
/
ATOMIC_SPECIES
Ta 180.95 Ta.upf
Li 6.94 Li.upf
Pt 195.08 Pt.upf
ATOMIC_POSITIONS angstrom
Ta -3.305 -3.664 2.936
Li -4.891 -5.422 4.344
Pt -1.678 -1.860 1.491
CELL_PARAMETERS angstrom
-3.947 -1.029 2.659
-0.990 -4.444 1.726
3.639 3.224 -0.266
```

Properties
Electronic total energy (eV per atom): -6.853
Energy of formation from the pure elements (eV/atom): -0.250
Calculated volume (Å³ per cell): 46
Spin magnetization (μB/f.u.): 0.0
Relative energy among the computed polymorphs (meV per atom): 73

---

# 18
Compound: LaBiMo2
Source: the Alexandria database
Functional: PBE
Structure: relaxed Values from VASP.

Geometry as Quantum ESPRESSO input:
```
&SYSTEM
  ibrav = 0, nat = 8, ntyp = 3
/
ATOMIC_SPECIES
Mo 95.94 Mo.upf
Bi 208.98 Bi.upf
La 138.91 La.upf
ATOMIC_POSITIONS angstrom
Mo -9.988 3.743 -0.018
Mo -4.223 0.483 -1.160
Mo -8.610 1.940 1.476
Mo -3.168 2.509 0.311
Bi 0.000 0.000 0.000
Bi -6.034 3.508 0.840
La -1.787 1.648 -2.003
La -6.960 0.830 -0.536
CELL_PARAMETERS angstrom
-0.861 4.325 -0.626
-2.713 -1.029 -3.379
-9.421 1.043 4.310
```

Properties
Electronic total energy (eV per atom): -6.774
Energy of formation from the pure elements (eV/atom): 0.844
Calculated volume (Å³ per cell): 197
Spin magnetization (μB/f.u.): 0.0

---

# 19
Compound: Zn2Pd2Pt
Source: the Alexandria database
Functional: PBE
Structure: relaxed Values from VASP.

Geometry as Quantum ESPRESSO input:
```
&SYSTEM
  ibrav = 0, nat = 10, ntyp = 3
/
ATOMIC_SPECIES
Pd 106.42 Pd.upf
Zn 65.41 Zn.upf
Pt 195.08 Pt.upf
ATOMIC_POSITIONS angstrom
Pd -6.716 -1.788 -3.572
Pd -3.862 0.851 -2.569
Pd -1.893 -2.032 -0.588
Pd -4.747 -4.671 -1.591
Zn -6.992 -3.322 -1.593
Zn -3.066 0.158 -0.171
Zn -3.742 -3.576 0.443
Zn -6.316 0.412 -2.206
Pt 0.000 0.000 0.000
Pt -4.304 -1.910 -2.080
CELL_PARAMETERS angstrom
-5.421 2.724 -4.024
-3.188 -6.544 -0.136
-1.449 0.656 2.396
```

Properties
Electronic total energy (eV per atom): -4.114
Energy of formation from the pure elements (eV/atom): -0.320
Calculated volume (Å³ per cell): 152
Spin magnetization (μB/f.u.): 0.0
Relative energy among the computed polymorphs (meV per atom): 87

---

# 20
Compound: ScRh4Pb
Source: the Alexandria database
Functional: PBE
Structure: relaxed Values from VASP.

Geometry as Quantum ESPRESSO input:
```
&SYSTEM
  ibrav = 0, nat = 6, ntyp = 3
/
ATOMIC_SPECIES
Rh 102.91 Rh.upf
Pb 207.20 Pb.upf
Sc 44.96 Sc.upf
ATOMIC_POSITIONS angstrom
Rh 2.784 -3.533 -1.753
Rh 4.660 -5.284 -1.164
Rh 4.629 -4.133 -3.533
Rh 2.782 -5.902 -2.904
Pb 0.000 0.000 0.000
Sc 5.571 -7.070 -3.508
CELL_PARAMETERS angstrom
3.747 -3.497 1.175
-0.004 -4.730 -2.298
3.685 -1.199 -3.554
```

Properties
Electronic total energy (eV per atom): -6.892
Energy of formation from the pure elements (eV/atom): -0.317
Calculated volume (Å³ per cell): 103
Spin magnetization (μB/f.u.): 0.0
Relative energy among the computed polymorphs (meV per atom): 0